The following is a DFT calculation (GGA-PBE) of an optimized crystal structure of Nd2ErCd4In2.

Lattice parameters (Å, degrees): 4.674 7.552 7.552 119.15 90.00 90.00
Element x y z (fractional)
Cd (0.500, 0.240, 0.240)
In (0.500, 0.665, 0.339)
Nd (0.000, 0.003, 0.426)
Er (0.000, 0.577, 0.577)
Cd (0.000, 0.991, 0.991)
Cd (0.500, 0.001, 0.758)
In (0.500, 0.339, 0.665)
Nd (0.000, 0.426, 0.003)
Cd (0.500, 0.758, 0.001)

Results
Symmetry: Amm2 (38)
Crystal system: orthorhombic
Total DFT energy (no corrections): -26.86 eV for the cell shown
Total magnetization: 0.02 μB per formula unit